(1)
Computed, not measured: an optimized crystal structure of NiPPb at the GGA-PBE level of DFT.

Computed properties:
The calculation puts the energy at -0.35242 Ry per atom. Its space group is F-43m, No. 216. The formation energy comes out at 172 meV per atom.

Unit cell a=4.3258 b=4.3258 c=4.3258 alpha=60.00 beta=60.00 gamma=60.00
Last column: nearest neighbours and their distance in Å.
Fractional coordinates of all 3 atoms:
Pb 0.5000 0.5000 0.5000  4 Ni 2.65
Ni 0.2500 0.2500 0.2500  4 Pb 2.65, 4 P 2.65
P 0.0000 0.0000 0.0000  4 Ni 2.65



(2)
Computed, not measured: an optimized crystal structure of CaTcSe at the GGA-PBE level of DFT.

Computed properties:
The raw formation energy comes out at 774 meV per atom. The value obtained for the energy above the most stable polymorph in this dataset is 1511 meV/atom. The calculation puts the energy at -0.33145 Ry per atom. Its space group is F-43m, No. 216.

Unit cell a=4.8172 b=4.8172 c=4.8172 alpha=60.00 beta=60.00 gamma=60.00
Last column: nearest neighbours and their distance in Å.
Fractional coordinates of all 3 atoms:
Ca 0.7500 0.7500 0.7500  4 Tc 2.95, 4 Se 2.95
Tc 0.5000 0.5000 0.5000  4 Ca 2.95
Se 0.0000 0.0000 0.0000  4 Ca 2.95



(3)
Computed, not measured: an optimized crystal structure of CaTaCl at the GGA-PBE level of DFT.

Computed properties:
The raw formation energy comes out at -61 meV per atom. The value obtained for the energy above the most stable polymorph in this dataset is 747 meV/atom. The calculation puts the energy at -0.38917 Ry per atom. Its space group is P3m1, No. 156.

Unit cell a=3.3400 b=3.3400 c=6.7232 alpha=90.00 beta=90.00 gamma=120.00
Last column: nearest neighbours and their distance in Å.
Fractional coordinates of all 3 atoms:
Ca 0.0000 0.0000 0.0008  3 Cl 3.12, 3 Ta 3.13, 6 Ca 3.34
Cl 0.6667 0.3333 0.3648  3 Ta 2.65
Ta 0.3333 0.6667 0.6343  3 Cl 2.65



(4)
Computed, not measured: an optimized crystal structure of SrCuPtBr2 at the GGA-PBE level of DFT.

Computed properties:
The raw formation energy comes out at -54 meV per atom. The calculation puts the energy at -0.22690 Ry per atom. Its space group is P4/mmm, No. 123.

Unit cell a=4.7541 b=6.6844 c=4.7541 alpha=90.00 beta=90.00 gamma=90.00
Last column: nearest neighbours and their distance in Å.
Fractional coordinates of all 5 atoms:
Cu 0.0000 0.0000 0.0000  4 Br 2.38
Br 0.0000 0.0000 0.5000  2 Cu 2.38
Br 0.5000 0.0000 0.0000  2 Cu 2.38
Pt 0.5000 0.5000 0.5000  4 Sr 3.36
Sr 0.0000 0.5000 0.0000  2 Cu 3.34, 4 Pt 3.36



(5)
Computed, not measured: an optimized crystal structure of CaHgW2 at the GGA-PBE level of DFT.

Computed properties:
The calculation puts the energy at -0.45229 Ry per atom. Its space group is P4/mmm, No. 123. The formation energy comes out at 899 meV per atom.

Unit cell a=2.8009 b=2.8009 c=9.8803 alpha=90.00 beta=90.00 gamma=90.00
Last column: nearest neighbours and their distance in Å.
Fractional coordinates of all 4 atoms:
Hg 0.5000 0.5000 0.7500  4 Hg 2.80, 8 W 3.05
W 0.0000 0.0000 0.9844  4 W 2.80, 4 Hg 3.05
W 0.0000 0.0000 0.5156  4 W 2.80, 4 Hg 3.05
Ca 0.5000 0.5000 0.2500  4 Ca 2.80



(6)
Computed, not measured: an optimized crystal structure of SbPd3Pb2 at the GGA-PBE level of DFT.

Computed properties:
The raw formation energy comes out at -266 meV per atom. The calculation puts the energy at -0.35173 Ry per atom. Its space group is C2/c, No. 15.

Unit cell a=5.5315 b=7.6739 c=6.9890 alpha=106.19 beta=113.31 gamma=90.00
Last column: nearest neighbours and their distance in Å.
Fractional coordinates of all 12 atoms:
Pd 0.1189 0.0611 0.2408  2 Sb 2.69-2.70, 4 Pb 2.91-2.98, 3 Pd 2.94-2.95
Pd 0.8780 0.4389 0.7592  2 Sb 2.69-2.70, 4 Pb 2.91-2.98, 3 Pd 2.94-2.95
Sb 0.2132 0.2500 0.0000  6 Pd 2.67-2.86
Sb 0.7868 0.7500 0.0000  6 Pd 2.67-2.86
Pd 0.6963 0.2500 0.0000  2 Sb 2.67-2.86, 4 Pd 2.94-2.95
Pb 0.6958 0.5962 0.3878  6 Pd 2.91-3.25
Pd 0.1220 0.5611 0.2408  2 Sb 2.69-2.70, 4 Pb 2.91-2.98, 3 Pd 2.94-2.95
Pd 0.3037 0.7500 0.0000  2 Sb 2.67-2.86, 4 Pd 2.94-2.95
Pb 0.6920 0.0962 0.3878  6 Pd 2.91-3.25
Pd 0.8811 0.9389 0.7592  2 Sb 2.69-2.70, 4 Pb 2.91-2.98, 3 Pd 2.94-2.95
Pb 0.3080 0.9038 0.6122  6 Pd 2.91-3.25
Pb 0.3042 0.4038 0.6122  6 Pd 2.91-3.25



(7)
Computed, not measured: an optimized crystal structure of ZrAsRh2 at the GGA-PBE level of DFT.

Computed properties:
The calculation puts the energy at -0.55229 Ry per atom. Its space group is Pm, No. 6. The formation energy comes out at -539 meV per atom.

Unit cell a=4.1829 b=3.0303 c=5.4221 alpha=73.65 beta=90.00 gamma=90.00
Last column: nearest neighbours and their distance in Å.
Fractional coordinates of all 4 atoms:
Rh 0.5000 0.1884 0.2477  1 As 2.64, 4 Rh 2.90-2.91, 4 Zr 2.91
As 0.5000 0.9349 0.7559  3 Rh 2.42-2.64
Rh 0.0000 0.8156 0.9909  2 As 2.42, 1 Zr 2.68
Zr 0.0000 0.5612 0.5055  7 Rh 2.68-2.95, 4 As 2.89



(8)
Computed, not measured: an optimized crystal structure of TmCdPb at the GGA-PBE level of DFT.

Computed properties:
The calculation puts the energy at -0.23904 Ry per atom. Its space group is P3m1, No. 156. The formation energy comes out at -221 meV per atom.

Unit cell a=3.5486 b=5.0511 c=5.0511 alpha=120.00 beta=90.00 gamma=90.00
Last column: nearest neighbours and their distance in Å.
Fractional coordinates of all 3 atoms:
Tm 0.6735 0.6667 0.3333  3 Cd 3.22, 6 Pb 3.25-3.60, 2 Tm 3.55
Cd 0.0577 0.0000 0.0000  3 Pb 3.01, 3 Tm 3.22
Pb 0.2688 0.3333 0.6667  3 Cd 3.01, 3 Tm 3.25



(9)
Computed, not measured: an optimized crystal structure of FeP2Pb at the GGA-PBE level of DFT.

Computed properties:
The calculation puts the energy at -0.40098 Ry per atom. Its space group is Immm, No. 71. The formation energy comes out at 292 meV per atom.

Unit cell a=5.0366 b=5.0366 c=5.0366 alpha=134.76 beta=106.95 gamma=90.25
Last column: nearest neighbours and their distance in Å.
Fractional coordinates of all 4 atoms:
Fe 0.2500 0.7500 0.5000  4 P 2.24
P 0.4087 0.4087 0.0000  2 Fe 2.24, 1 P 2.26
P 0.0913 0.0913 0.0000  2 Fe 2.24, 1 P 2.26
Pb 0.7500 0.2500 0.5000  8 P 3.10-3.20



(10)
Computed, not measured: an optimized crystal structure of SrLi2Ca2Cd2 at the GGA-PBE level of DFT.

Computed properties:
The calculation puts the energy at -0.12938 Ry per atom. Its space group is R-3m, No. 166. The formation energy comes out at -140 meV per atom.

Unit cell a=5.0726 b=5.0726 c=10.1716 alpha=75.56 beta=75.56 gamma=60.00
Last column: nearest neighbours and their distance in Å.
Fractional coordinates of all 7 atoms:
Li 0.5916 0.5916 0.2251  3 Cd 2.93
Cd 0.7443 0.7443 0.7671  3 Li 2.93
Sr 0.0000 0.0000 0.0000  6 Li 3.66, 6 Cd 3.70, 2 Ca 3.82
Ca 0.8693 0.8693 0.3921  4 Cd 3.31-3.65, 3 Li 3.35, 3 Ca 3.60
Cd 0.2557 0.2557 0.2329  3 Li 2.93
Ca 0.1307 0.1307 0.6079  4 Cd 3.31-3.65, 3 Li 3.35, 3 Ca 3.60
Li 0.4084 0.4084 0.7749  3 Cd 2.93



(11)
Computed, not measured: an optimized crystal structure of CaHf2Ir2 at the GGA-PBE level of DFT.

Computed properties:
The value obtained for the energy above the most stable polymorph in this dataset is 490 meV/atom. The calculation puts the energy at -0.60359 Ry per atom. Its space group is I4/mmm, No. 139. The formation energy comes out at -286 meV per atom.

Unit cell a=4.3094 b=4.3094 c=7.0417 alpha=72.18 beta=72.18 gamma=90.00
Last column: nearest neighbours and their distance in Å.
Fractional coordinates of all 5 atoms:
Ir 0.7500 0.2500 0.5000  4 Hf 2.62
Ir 0.2500 0.7500 0.5000  4 Hf 2.62
Hf 0.6330 0.6330 0.7339  4 Ir 2.62
Hf 0.3670 0.3670 0.2661  4 Ir 2.62
Ca 0.0000 0.0000 0.0000  8 Hf 3.48, 8 Ir 3.84



no.,D(E_F) (states/eV/f.u.)
1,1.85
2,7.20
3,0.30
4,5.64
5,1.67
6,3.22
7,3.90
8,1.22
9,4.03
10,5.48
11,3.58